! Nd3Mg5Ru2 | Alexandria | PBE | optimized geometry; values from VASP
! Symmetry = Ibam, No. 72
! ΔE_f = -48 kJ/mol of formula units
! Uncorrected energy = -82.6 eV/cell
&SYSTEM
  ibrav = 0, nat = 20, ntyp = 3
/
ATOMIC_SPECIES
Nd 144.24 Nd.upf
Mg 24.30 Mg.upf
Ru 101.07 Ru.upf
ATOMIC_POSITIONS angstrom
Nd 1.583 0.000 0.000
Nd 4.748 0.000 0.000
Nd 6.331 6.015 8.351
Nd 6.331 5.594 0.495
Nd 9.496 9.647 3.583
Nd 3.165 1.961 5.262
Mg 4.748 5.804 4.423
Mg 7.914 5.804 4.423
Mg 7.914 8.101 6.172
Mg 7.914 3.508 2.673
Mg 4.748 3.508 2.673
Mg 4.748 8.101 6.172
Mg 3.165 6.324 1.913
Mg 9.496 5.285 6.932
Mg 6.331 3.522 5.589
Mg 6.331 8.086 3.256
Ru 6.331 9.355 7.928
Ru 6.331 2.254 0.917
Ru 9.496 10.126 6.916
Ru 3.165 1.482 1.930
CELL_PARAMETERS angstrom
6.331 0.000 0.000
3.165 9.005 0.222
3.165 2.604 8.623

***

! KBa2OsO | Alexandria | PBE | optimized geometry; values from VASP
! Symmetry = P4/mmm, No. 123
! Raw formation energy = 0.5497 eV per atom
! Energy relative to the lowest polymorph listed for this composition = 0.486 eV/atom
! Uncorrected energy = -18.4 eV/cell
&SYSTEM
  ibrav = 0, nat = 5, ntyp = 4
/
ATOMIC_SPECIES
K 39.10 K.upf
Os 190.23 Os.upf
Ba 137.33 Ba.upf
O 16.00 O.upf
ATOMIC_POSITIONS angstrom
K 0.196 -2.541 1.219
Os 0.000 0.000 0.000
Ba 2.064 0.982 1.715
Ba -1.967 0.772 1.925
O 0.294 -0.787 4.860
CELL_PARAMETERS angstrom
-3.933 1.543 3.850
0.392 -5.083 2.438
4.129 1.965 3.431

***

no.,total magnetic moment (μB per formula unit)
1,0.0
2,0.2